(1)
First-principles (PBE) data for a geometry-optimized Fe2HOsRh structure, as listed in Alexandria.

Results
* offset from the most stable computed form: 0.00 eV/f.u.
* ρ: 12.6 Mg/m³
* E: -7.62 eV per atom

a = 3.7973 Å, b = 3.7973 Å, c = 3.7213 Å
α = 90.00°, β = 90.00°, γ = 90.00°
Space group P4/mmm (No. 123)
Inequivalent atoms, fractional coordinates:
Fe 0.0000 0.5000 0.0000 x2
H 0.0000 0.0000 0.0000 x1
Os 0.0000 0.0000 0.5000 x1
Rh 0.5000 0.5000 0.5000 x1

(2)
First-principles (PBE) data for a geometry-optimized Fe2HOsRh structure, as listed in Alexandria.

Results
* offset from the most stable computed form: 0.01 eV/f.u.
* ρ: 12.7 Mg/m³
* E: -7.62 eV per atom

a = 3.7922 Å, b = 3.7922 Å, c = 3.7019 Å
α = 90.00°, β = 90.00°, γ = 90.00°
Space group P4/mmm (No. 123)
Inequivalent atoms, fractional coordinates:
Fe 0.0000 0.5000 0.0000 x2
H 0.0000 0.0000 0.0000 x1
Os 0.5000 0.5000 0.5000 x1
Rh 0.0000 0.0000 0.5000 x1

(3)
First-principles (PBE) data for a geometry-optimized Fe2HOsRu structure, as listed in Alexandria.

Results
* offset from the most stable computed form: 0.17 eV/f.u.
* ρ: 13.0 Mg/m³
* E: -7.97 eV per atom

a = 3.7074 Å, b = 3.7074 Å, c = 3.7432 Å
α = 90.00°, β = 90.00°, γ = 90.00°
Space group P4/mmm (No. 123)
Inequivalent atoms, fractional coordinates:
Fe 0.0000 0.5000 0.0000 x2
H 0.0000 0.0000 0.0000 x1
Os 0.0000 0.0000 0.5000 x1
Ru 0.5000 0.5000 0.5000 x1

(4)
First-principles (PBE) data for a geometry-optimized Fe2HOsRu structure, as listed in Alexandria.

Results
* offset from the most stable computed form: 0.00 eV/f.u.
* ρ: 13.1 Mg/m³
* E: -8.01 eV per atom

a = 3.7094 Å, b = 3.7094 Å, c = 3.7215 Å
α = 90.00°, β = 90.00°, γ = 90.00°
Space group P4/mmm (No. 123)
Inequivalent atoms, fractional coordinates:
Fe 0.0000 0.5000 0.0000 x2
H 0.0000 0.0000 0.0000 x1
Os 0.5000 0.5000 0.5000 x1
Ru 0.0000 0.0000 0.5000 x1

(5)
First-principles (PBE) data for a geometry-optimized Fe2SiHOs structure, as listed in Alexandria.

Results
* ρ: 10.7 Mg/m³
* E: -7.40 eV per atom

a = 3.6377 Å, b = 3.6377 Å, c = 3.8826 Å
α = 90.00°, β = 90.00°, γ = 90.00°
Space group P4/mmm (No. 123)
Inequivalent atoms, fractional coordinates:
Fe 0.0000 0.5000 0.0000 x2
Si 0.0000 0.0000 0.5000 x1
H 0.5000 0.5000 0.0000 x1
Os 0.5000 0.5000 0.5000 x1

(6)
First-principles (PBE) data for a geometry-optimized Sr2FeHOs structure, as listed in Alexandria.

Results
* ρ: 6.8 Mg/m³
* E: -4.38 eV per atom

a = 5.7813 Å, b = 5.7813 Å, c = 3.0992 Å
α = 90.00°, β = 90.00°, γ = 90.00°
Space group P4/mmm (No. 123)
Inequivalent atoms, fractional coordinates:
Sr 0.0000 0.5000 0.0000 x2
Fe 0.0000 0.0000 0.0000 x1
H 0.0000 0.0000 0.5000 x1
Os 0.5000 0.5000 0.5000 x1

(7)
First-principles (PBE) data for a geometry-optimized Ta2FeHOs structure, as listed in Alexandria.

Results
* offset from the most stable computed form: 0.00 eV/f.u.
* ρ: 16.0 Mg/m³
* E: -9.51 eV per atom

a = 4.2502 Å, b = 4.2502 Å, c = 3.4949 Å
α = 90.00°, β = 90.00°, γ = 90.00°
Space group P4/mmm (No. 123)
Inequivalent atoms, fractional coordinates:
Ta 0.0000 0.5000 0.0000 x2
Fe 0.0000 0.0000 0.5000 x1
H 0.0000 0.0000 0.0000 x1
Os 0.5000 0.5000 0.5000 x1

(8)
First-principles (PBE) data for a geometry-optimized TaFe2HOs structure, as listed in Alexandria.

Results
* offset from the most stable computed form: 0.08 eV/f.u.
* ρ: 14.5 Mg/m³
* E: -8.72 eV per atom

a = 3.7441 Å, b = 3.7441 Å, c = 3.9454 Å
α = 90.00°, β = 90.00°, γ = 90.00°
Space group P4/mmm (No. 123)
Inequivalent atoms, fractional coordinates:
Ta 0.0000 0.0000 0.0000 x1
Fe 0.0000 0.5000 0.5000 x2
H 0.0000 0.0000 0.5000 x1
Os 0.5000 0.5000 0.0000 x1